# 1
Density functional theory data (GGA-PBE) for a relaxed structure of Hf5CoIr2.

Unit cell a=6.6728 b=10.6315 c=4.2801 alpha=90.00 beta=90.00 gamma=90.00
Last column: nearest neighbours and their distance in Å.
Element x y z (fractional)
Hf1 0.0000 0.0000 0.0000  4 Ir 2.78
Hf2 0.1506 0.2892 0.0000  1 Co 2.46
Hf3 0.1764 0.5856 0.5000  2 Co 2.61, 2 Ir 2.69-2.79
Hf4 0.3236 0.0856 0.5000  2 Co 2.61, 2 Ir 2.69-2.79
Hf5 0.3494 0.7892 0.0000  1 Co 2.46
Hf6 0.5000 0.5000 0.0000  4 Ir 2.78
Hf7 0.6506 0.2108 0.0000  1 Co 2.46
Hf8 0.6764 0.9144 0.5000  2 Co 2.61, 2 Ir 2.69-2.79
Hf9 0.8236 0.4144 0.5000  2 Co 2.61, 2 Ir 2.69-2.79
Hf10 0.8494 0.7108 0.0000  1 Co 2.46
Co1 0.0000 0.5000 0.0000  6 Hf 2.46-2.61
Co2 0.5000 0.0000 0.0000  6 Hf 2.46-2.61
Ir1 0.0599 0.8374 0.5000  8 Hf 2.69-2.93
Ir2 0.4401 0.3374 0.5000  8 Hf 2.69-2.93
Ir3 0.5599 0.6626 0.5000  8 Hf 2.69-2.93
Ir4 0.9401 0.1626 0.5000  8 Hf 2.69-2.93

Results
Energy of formation from the pure elements, eV/f.u.: -4.52
Magnetization, μB/cell: 0.0
Space-group type: Pbam (55)
Crystal system: orthorhombic
Calculated density, g/cm³: 14.6



# 2
Density functional theory data (GGA-PBE) for a relaxed structure of Sm2YHfAs4.

Unit cell a=7.0702 b=4.0790 c=7.0779 alpha=90.00 beta=109.26 gamma=90.00
Last column: nearest neighbours and their distance in Å.
Element x y z (fractional)
Sm1 0.0000 0.0000 0.0000  6 As 2.99
Sm2 0.5000 0.5000 0.0000  6 As 2.91
Y1 0.0000 0.5000 0.5000  6 As 2.87
Hf1 0.5000 0.0000 0.5000  6 As 2.78-2.79
As1 0.2554 0.0000 0.7371  1 Hf 2.78, 2 Y 2.87, 3 Sm 2.91-2.99
As2 0.2651 0.5000 0.2688  2 Hf 2.79, 1 Y 2.87, 3 Sm 2.91-2.99
As3 0.7349 0.5000 0.7312  2 Hf 2.79, 1 Y 2.87, 3 Sm 2.91-2.99
As4 0.7446 0.0000 0.2629  1 Hf 2.78, 2 Y 2.87, 3 Sm 2.91-2.99

Results
Energy of formation from the pure elements, eV/f.u.: -11.19
Magnetization, μB/cell: 0.0
Space-group type: P2/m (10)
Crystal system: monoclinic
Calculated density, g/cm³: 7.5



# 3
Density functional theory data (GGA-PBE) for a relaxed structure of Th12Zr5Ag3.

Unit cell a=14.9939 b=14.9939 c=14.9939 alpha=109.47 beta=109.47 gamma=109.47
Last column: nearest neighbours and their distance in Å.
Element x y z (fractional)
Th1 0.0432 0.2224 0.1305  2 Zr 2.67-2.95
Th2 0.0432 0.3209 0.9128  2 Zr 2.67-2.95
Th3 0.0872 0.6305 0.4081  2 Zr 2.67-2.95
Th4 0.0872 0.9568 0.6791  2 Zr 2.67-2.95
Th5 0.0919 0.7224 0.6791  2 Zr 2.67-2.95
Th6 0.0919 0.8695 0.4128  2 Zr 2.67-2.95
Th7 0.1305 0.0432 0.2224  2 Zr 2.67-2.95
Th8 0.1305 0.5872 0.9081  2 Zr 2.67-2.95
Th9 0.1791 0.2224 0.5919  2 Zr 2.67-2.95
Th10 0.1791 0.4568 0.5872  2 Zr 2.67-2.95
Th11 0.2224 0.1305 0.0432  2 Zr 2.67-2.95
Th12 0.2224 0.5919 0.1791  2 Zr 2.67-2.95
Th13 0.2776 0.3209 0.9081  2 Zr 2.67-2.95
Th14 0.2776 0.4568 0.3695  2 Zr 2.67-2.95
Th15 0.3209 0.9081 0.2776  2 Zr 2.67-2.95
Th16 0.3209 0.9128 0.0432  2 Zr 2.67-2.95
Th17 0.3695 0.2776 0.4568  2 Zr 2.67-2.95
Th18 0.3695 0.5919 0.9128  2 Zr 2.67-2.95
Th19 0.4081 0.0872 0.6305  2 Zr 2.67-2.95
Th20 0.4081 0.8209 0.7776  2 Zr 2.67-2.95
Th21 0.4128 0.0919 0.8695  2 Zr 2.67-2.95
Th22 0.4128 0.8209 0.5432  2 Zr 2.67-2.95
Th23 0.4568 0.3695 0.2776  2 Zr 2.67-2.95
Th24 0.4568 0.5872 0.1791  2 Zr 2.67-2.95
Th25 0.5432 0.4128 0.8209  2 Zr 2.67-2.95
Th26 0.5432 0.6305 0.7224  2 Zr 2.67-2.95
Th27 0.5872 0.1791 0.4568  2 Zr 2.67-2.95
Th28 0.5872 0.9081 0.1305  2 Zr 2.67-2.95
Th29 0.5919 0.1791 0.2224  2 Zr 2.67-2.95
Th30 0.5919 0.9128 0.3695  2 Zr 2.67-2.95
Th31 0.6305 0.4081 0.0872  2 Zr 2.67-2.95
Th32 0.6305 0.7224 0.5432  2 Zr 2.67-2.95
Th33 0.6791 0.0872 0.9568  2 Zr 2.67-2.95
Th34 0.6791 0.0919 0.7224  2 Zr 2.67-2.95
Th35 0.7224 0.5432 0.6305  2 Zr 2.67-2.95
Th36 0.7224 0.6791 0.0919  2 Zr 2.67-2.95
Th37 0.7776 0.4081 0.8209  2 Zr 2.67-2.95
Th38 0.7776 0.8695 0.9568  2 Zr 2.67-2.95
Th39 0.8209 0.5432 0.4128  2 Zr 2.67-2.95
Th40 0.8209 0.7776 0.4081  2 Zr 2.67-2.95
Th41 0.8695 0.4128 0.0919  2 Zr 2.67-2.95
Th42 0.8695 0.9568 0.7776  2 Zr 2.67-2.95
Th43 0.9081 0.1305 0.5872  2 Zr 2.67-2.95
Th44 0.9081 0.2776 0.3209  2 Zr 2.67-2.95
Th45 0.9128 0.0432 0.3209  2 Zr 2.67-2.95
Th46 0.9128 0.3695 0.5919  2 Zr 2.67-2.95
Th47 0.9568 0.6791 0.0872  2 Zr 2.67-2.95
Th48 0.9568 0.7776 0.8695  2 Zr 2.67-2.95
Zr1 0.0000 0.0000 0.0000  6 Th 2.95
Zr2 0.0000 0.0000 0.5000  6 Th 2.95
Zr3 0.0000 0.5000 0.0000  6 Th 2.95
Zr4 0.0000 0.5000 0.5000  6 Th 2.95
Zr5 0.1250 0.7500 0.8750  4 Th 2.67
Zr6 0.1250 0.8750 0.2500  4 Th 2.67
Zr7 0.2500 0.1250 0.8750  4 Th 2.67
Zr8 0.2500 0.6250 0.3750  4 Th 2.67
Zr9 0.3750 0.2500 0.6250  4 Th 2.67
Zr10 0.3750 0.6250 0.7500  4 Th 2.67
Zr11 0.5000 0.0000 0.0000  6 Th 2.95
Zr12 0.5000 0.0000 0.5000  6 Th 2.95
Zr13 0.5000 0.5000 0.0000  6 Th 2.95
Zr14 0.5000 0.5000 0.5000  6 Th 2.95
Zr15 0.6250 0.3750 0.2500  4 Th 2.67
Zr16 0.6250 0.7500 0.3750  4 Th 2.67
Zr17 0.7500 0.3750 0.6250  4 Th 2.67
Zr18 0.7500 0.8750 0.1250  4 Th 2.67
Zr19 0.8750 0.1250 0.7500  4 Th 2.67
Zr20 0.8750 0.2500 0.1250  4 Th 2.67
Ag1 0.1250 0.2500 0.3750  8 Th 3.23-3.28
Ag2 0.1250 0.3750 0.7500  8 Th 3.23-3.28
Ag3 0.2500 0.3750 0.1250  8 Th 3.23-3.28
Ag4 0.2500 0.8750 0.6250  8 Th 3.23-3.28
Ag5 0.3750 0.1250 0.2500  8 Th 3.23-3.28
Ag6 0.3750 0.7500 0.1250  8 Th 3.23-3.28
Ag7 0.6250 0.2500 0.8750  8 Th 3.23-3.28
Ag8 0.6250 0.8750 0.7500  8 Th 3.23-3.28
Ag9 0.7500 0.1250 0.3750  8 Th 3.23-3.28
Ag10 0.7500 0.6250 0.8750  8 Th 3.23-3.28
Ag11 0.8750 0.6250 0.2500  8 Th 3.23-3.28
Ag12 0.8750 0.7500 0.6250  8 Th 3.23-3.28

Results
Energy of formation from the pure elements, eV/f.u.: 18.59
Magnetization, μB/cell: 0.0
Space-group type: Ia-3d (230)
Crystal system: cubic
Calculated density, g/cm³: 9.1



# 4
Density functional theory data (GGA-PBE) for a relaxed structure of CaMg2Pt.

Unit cell a=3.4804 b=3.5006 c=7.3919 alpha=90.00 beta=90.13 gamma=90.00
Last column: nearest neighbours and their distance in Å.
Element x y z (fractional)
Ca1 0.0000 0.0000 0.0000  1 Mg 3.05, 4 Pt 3.09
Mg1 0.0002 0.0000 0.4121  4 Pt 2.74, 1 Ca 3.05, 4 Mg 3.06-3.07
Mg2 0.4996 0.5000 0.6571  1 Pt 3.00, 4 Mg 3.06-3.07
Pt1 0.4999 0.5000 0.2516  5 Mg 2.74-3.00

Results
Energy of formation from the pure elements, eV/f.u.: -1.96
Magnetization, μB/cell: 0.0
Space-group type: Pm (6)
Crystal system: monoclinic
Calculated density, g/cm³: 5.2



# 5
Density functional theory data (GGA-PBE) for a relaxed structure of Ac2H6PdPt.

Unit cell a=5.7280 b=5.7280 c=5.7280 alpha=123.54 beta=123.54 gamma=83.97
Last column: nearest neighbours and their distance in Å.
Element x y z (fractional)
Ac1 0.2500 0.7500 0.5000  12 H 2.73-2.87
Ac2 0.7500 0.2500 0.5000  12 H 2.73-2.87
H1 0.2098 0.2098 0.0000  1 Pd 1.79
H2 0.2678 0.2678 0.5357  1 Pt 1.78
H3 0.2678 0.7322 0.0000  1 Pt 1.78
H4 0.7322 0.2678 0.0000  1 Pt 1.78
H5 0.7322 0.7322 0.4643  1 Pt 1.78
H6 0.7902 0.7902 0.0000  1 Pd 1.79
Pd1 0.0000 0.0000 0.0000  2 H 1.79
Pt1 0.5000 0.5000 0.0000  4 H 1.78

Results
Magnetization, μB/cell: 0.0
Space-group type: I4/mmm (139)
Raw total energy, eV per cell: -44.49
Crystal system: tetragonal
Calculated density, g/cm³: 10.1



# 6
Density functional theory data (GGA-PBE) for a relaxed structure of CePr4Nd15.

Unit cell a=5.2151 b=5.2151 c=26.0090 alpha=90.00 beta=90.00 gamma=90.00
Last column: nearest neighbours and their distance in Å.
Element x y z (fractional)
Ce1 0.0000 0.0000 0.0000  12 Nd 3.63-3.69
Pr1 0.0000 0.0000 0.1986  12 Nd 3.69-3.70
Pr2 0.0000 0.0000 0.3997  12 Nd 3.69-3.70
Pr3 0.0000 0.0000 0.6003  12 Nd 3.69-3.70
Pr4 0.0000 0.0000 0.8014  12 Nd 3.69-3.70
Nd1 0.0000 0.5000 0.0974  8 Nd 3.63-3.72, 2 Ce 3.63, 2 Pr 3.70
Nd2 0.0000 0.5000 0.2989  8 Nd 3.68-3.70, 4 Pr 3.69-3.70
Nd3 0.0000 0.5000 0.5000  8 Nd 3.69, 4 Pr 3.69
Nd4 0.0000 0.5000 0.7011  8 Nd 3.68-3.70, 4 Pr 3.69-3.70
Nd5 0.0000 0.5000 0.9026  8 Nd 3.63-3.72, 2 Ce 3.63, 2 Pr 3.70
Nd6 0.5000 0.0000 0.0974  8 Nd 3.63-3.72, 2 Ce 3.63, 2 Pr 3.70
Nd7 0.5000 0.0000 0.2989  8 Nd 3.68-3.70, 4 Pr 3.69-3.70
Nd8 0.5000 0.0000 0.5000  8 Nd 3.69, 4 Pr 3.69
Nd9 0.5000 0.0000 0.7011  8 Nd 3.68-3.70, 4 Pr 3.69-3.70
Nd10 0.5000 0.0000 0.9026  8 Nd 3.63-3.72, 2 Ce 3.63, 2 Pr 3.70
Nd11 0.5000 0.5000 0.0000  8 Nd 3.63, 4 Ce 3.69
Nd12 0.5000 0.5000 0.1993  8 Nd 3.68-3.72, 4 Pr 3.69
Nd13 0.5000 0.5000 0.3997  4 Pr 3.69, 8 Nd 3.69-3.70
Nd14 0.5000 0.5000 0.6003  4 Pr 3.69, 8 Nd 3.69-3.70
Nd15 0.5000 0.5000 0.8007  8 Nd 3.68-3.72, 4 Pr 3.69

Results
Energy of formation from the pure elements, eV/f.u.: 0.54
Magnetization, μB/cell: 1.2
Space-group type: P4/mmm (123)
Crystal system: tetragonal
Calculated density, g/cm³: 6.7



# 7
Density functional theory data (GGA-PBE) for a relaxed structure of Cu2HgRh2.

Unit cell a=7.2671 b=7.2671 c=2.8896 alpha=90.00 beta=90.00 gamma=90.00
Last column: nearest neighbours and their distance in Å.
Element x y z (fractional)
Cu1 0.1643 0.3357 0.0000  6 Rh 2.55-2.60
Cu2 0.3357 0.8357 0.0000  6 Rh 2.55-2.60
Cu3 0.6643 0.1643 0.0000  6 Rh 2.55-2.60
Cu4 0.8357 0.6643 0.0000  6 Rh 2.55-2.60
Hg1 0.0000 0.0000 0.5000  4 Rh 2.85, 2 Hg 2.89, 8 Cu 3.08
Hg2 0.5000 0.5000 0.5000  4 Rh 2.85, 2 Hg 2.89, 8 Cu 3.08
Rh1 0.1311 0.6311 0.5000  6 Cu 2.55-2.60, 1 Rh 2.69, 2 Hg 2.85
Rh2 0.3689 0.1311 0.5000  6 Cu 2.55-2.60, 1 Rh 2.69, 2 Hg 2.85
Rh3 0.6311 0.8689 0.5000  6 Cu 2.55-2.60, 1 Rh 2.69, 2 Hg 2.85
Rh4 0.8689 0.3689 0.5000  6 Cu 2.55-2.60, 1 Rh 2.69, 2 Hg 2.85

Results
Energy of formation from the pure elements, eV/f.u.: 1.15
Magnetization, μB/cell: 0.0
Energy above the lowest structure with this stoichiometry, eV/atom: 0.000
Space-group type: P4/mbm (127)
Crystal system: tetragonal
Calculated density, g/cm³: 11.6



# 8
Density functional theory data (GGA-PBE) for a relaxed structure of SrMg2Ag6.

Unit cell a=8.2650 b=8.2650 c=8.2650 alpha=154.71 beta=123.38 gamma=62.98
Last column: nearest neighbours and their distance in Å.
Element x y z (fractional)
Sr1 0.0000 0.0000 0.0000  12 Ag 3.16-3.45
Mg1 0.3612 0.8612 0.5000  10 Ag 2.93-3.12
Mg2 0.6388 0.1388 0.5000  10 Ag 2.93-3.12
Ag1 0.0046 0.3192 0.6854  4 Ag 2.79-2.91, 3 Mg 2.93-3.12
Ag2 0.3299 0.5000 0.8299  3 Ag 2.67-2.79, 4 Mg 2.98
Ag3 0.3662 0.6808 0.6854  4 Ag 2.79-2.91, 3 Mg 2.93-3.12
Ag4 0.6338 0.3192 0.3146  4 Ag 2.79-2.91, 3 Mg 2.93-3.12
Ag5 0.6701 0.5000 0.1701  3 Ag 2.67-2.79, 4 Mg 2.98
Ag6 0.9954 0.6808 0.3146  4 Ag 2.79-2.91, 3 Mg 2.93-3.12

Results
Energy of formation from the pure elements, eV/f.u.: -0.80
Magnetization, μB/cell: 0.0
Space-group type: Immm (71)
Crystal system: orthorhombic
Calculated density, g/cm³: 6.5



# 9
Density functional theory data (GGA-PBE) for a relaxed structure of MgTlI2F.

Unit cell a=6.0469 b=6.0469 c=3.9569 alpha=90.00 beta=90.00 gamma=90.00
Last column: nearest neighbours and their distance in Å.
Element x y z (fractional)
Mg1 0.0000 0.0000 0.0000  2 F 1.98
Tl1 0.5000 0.5000 0.5000  8 I 3.61, 2 Tl 3.96
I1 0.0000 0.5000 0.0000  2 Mg 3.02
I2 0.5000 0.0000 0.0000  2 Mg 3.02
F1 0.0000 0.0000 0.5000  2 Mg 1.98

Results
Magnetization, μB/cell: 0.0
Space-group type: P4/mmm (123)
Crystal system: tetragonal
Uncorrected formation energy, eV per atom: -1.51
Calculated density, g/cm³: 5.8



# 10
Density functional theory data (GGA-PBE) for a relaxed structure of LiAsF2.

Unit cell a=7.5247 b=7.5247 c=7.5247 alpha=22.62 beta=22.62 gamma=22.62
Last column: nearest neighbours and their distance in Å.
Element x y z (fractional)
Li1 0.0000 0.0000 0.0000  2 F 1.70
As1 0.5000 0.5000 0.5000  6 F 2.60
F1 0.0772 0.0772 0.0772  1 Li 1.70
F2 0.9228 0.9228 0.9228  1 Li 1.70

Results
Magnetization, μB/cell: 0.0
Energy above the lowest structure with this stoichiometry, eV/atom: 0.599
Space-group type: R-3m (166)
Crystal system: trigonal
Uncorrected formation energy, eV per atom: -1.45
Calculated density, g/cm³: 3.6



- Which of these has the highest magnetization?
  CePr4Nd15